Compound: Ba2HoTlO6
Source: Alexandria
Functional: PBE
Structure: optimized geometry

Unit cell a=6.186 b=6.186 c=6.194 alpha=60.05 beta=60.05 gamma=90.00
Last column: magnetic moment on the atom in μB.
Fractional positions:
1 Ba 0.250 0.750 0.500  -0.01
2 Ba 0.750 0.250 0.500  -0.01
3 Ho 0.000 0.000 0.000  0.11
4 Tl 0.500 0.500 0.000  0.07
5 O 0.250 0.750 0.000  0.23
6 O 0.750 0.750 0.000  0.24
7 O 0.250 0.249 0.501  0.23
8 O 0.750 0.250 0.000  0.23
9 O 0.250 0.250 0.000  0.24
10 O 0.750 0.751 0.499  0.23

Results
raw total energy	-60.6	eV/cell
ΔE_f (raw)	-2.006	eV per atom



Compound: Ba2HoU3O12
Source: Alexandria
Functional: PBE
Structure: optimized geometry

Unit cell a=7.888 b=7.888 c=7.888 alpha=62.09 beta=62.09 gamma=62.09
Last column: magnetic moment on the atom in μB.
Fractional positions:
1 Ba 0.688 0.688 0.688  0.00
2 Ba 0.312 0.312 0.312  0.00
3 Ho 0.000 0.000 0.000  0.00
4 U 0.500 0.000 0.000  0.37
5 U 0.000 0.500 0.000  0.37
6 U 0.000 0.000 0.500  0.37
7 O 0.313 0.313 0.959  -0.01
8 O 0.926 0.926 0.336  -0.01
9 O 0.336 0.926 0.926  -0.01
10 O 0.959 0.313 0.313  -0.01
11 O 0.926 0.336 0.926  -0.01
12 O 0.313 0.959 0.313  -0.01
13 O 0.687 0.687 0.041  -0.01
14 O 0.074 0.074 0.664  -0.01
15 O 0.664 0.074 0.074  -0.01
16 O 0.041 0.687 0.687  -0.01
17 O 0.074 0.664 0.074  -0.01
18 O 0.687 0.041 0.687  -0.01

Results
raw total energy	-158.6	eV/cell
ΔE_f (raw)	-3.158	eV per atom